Density functional theory data (PBE-GGA) for an optimized crystal structure of Ba8Sb3PI3.

## Properties
As for the final energy: -113.61 eV for the cell shown. The formation energy without anion corrections is -1266 meV/atom.

Lattice parameters (Å, degrees): 17.426 10.064 10.178 90.00 124.84 90.00
Space group C2/m (No. 12)
Symmetry-distinct sites (fractional):
Ba: 0.010 0.238 0.292
Ba: 0.228 0.000 0.708
Ba: 0.239 0.500 0.718
Sb: 0.000 0.500 0.500
Sb: 0.250 0.250 0.500
P: 0.000 0.000 0.500
I: 0.000 0.000 0.000
I: 0.250 0.250 0.000